(1)
5
Lattice="-3.935 -3.111 0.789 2.078 -1.518 4.377 -2.502 3.800 2.506" Properties=species:S:1:pos:R:3 comment="InAs2RhBr | the Alexandria database | SCAN | PBEsol geometry" raw_formation_energy_ev_per_atom=1.2169 magmom_total_mub_per_cell=0.405 dos_at_fermi_per_ev_atom=1.115 pbc="T T T"
In 0.000 0.000 0.000
As -1.967 -1.555 0.395
As 1.039 -0.759 2.189
Br -1.251 1.900 1.253
Rh -2.179 -0.414 3.836


(2)
5
Lattice="-4.036 0.193 3.221 2.932 -1.935 3.790 1.448 5.144 1.506" Properties=species:S:1:pos:R:3 comment="InAsSeBr2 | the Alexandria database | SCAN | PBEsol geometry" raw_formation_energy_ev_per_atom=0.3210 magmom_total_mub_per_cell=0.232 dos_at_fermi_per_ev_atom=0.362 pbc="T T T"
Br 1.466 -0.967 1.895
Br -2.018 0.097 1.610
In 0.000 0.000 0.000
As 0.724 2.572 0.753
Se 0.172 1.701 4.258


(3)
5
Lattice="-4.718 1.143 0.831 -1.457 -4.128 -2.598 0.094 -2.735 4.293" Properties=species:S:1:pos:R:3 comment="InSiAsBr2 | the Alexandria database | SCAN | PBEsol geometry" raw_formation_energy_ev_per_atom=0.0992 magmom_total_mub_per_cell=0.001 dos_at_fermi_per_ev_atom=0.635 pbc="T T T"
Si 0.000 0.000 0.000
Br 0.047 -1.367 2.146
Br -0.729 -2.064 -1.299
In -3.041 -2.860 1.263
As -2.359 0.571 0.416


(4)
5
Lattice="-2.215 3.342 -3.354 -4.450 0.300 3.238 2.262 4.227 2.718" Properties=species:S:1:pos:R:3 comment="TlInAsBr2 | the Alexandria database | SCAN | PBEsol geometry" raw_formation_energy_ev_per_atom=-0.2372 magmom_total_mub_per_cell=1.235 dos_at_fermi_per_ev_atom=0.452 pbc="T T T"
As -1.108 1.671 -1.677
Tl -2.201 3.934 1.301
Br -2.225 0.150 1.619
Br 1.131 2.114 1.359
In 0.000 0.000 0.000


(5)
5
Lattice="5.406 0.000 0.000 0.000 5.406 0.000 0.000 0.000 5.429" Properties=species:S:1:pos:R:3 comment="YInAs2Br | the Alexandria database | SCAN | PBEsol geometry" raw_formation_energy_ev_per_atom=-0.2511 magmom_total_mub_per_cell=1.074 dos_at_fermi_per_ev_atom=0.678 pbc="T T T"
Y 0.000 0.000 0.000
As 2.703 0.000 0.000
As 0.000 2.703 0.000
In 2.703 2.703 2.714
Br 0.000 0.000 2.714


(6)
4
Lattice="2.856 0.000 0.000 0.000 4.318 0.000 -1.428 -2.159 5.419" Properties=species:S:1:pos:R:3 comment="AsIr2Br | the Alexandria database | SCAN | PBEsol geometry" e_above_lowest_polymorph_mev_per_atom=233 raw_formation_energy_ev_per_atom=0.7611 magmom_total_mub_per_cell=0.000 dos_at_fermi_per_ev_atom=0.967 pbc="T T T"
As 0.000 0.000 4.988
Ir 0.000 0.000 0.396
Ir 1.428 0.000 2.776
Br 0.000 2.159 2.678